# 1
## AgHgSO (PBE)

Data for an optimized crystal structure of AgHgSO.

## Properties
Calculated density ... 7.9 g/cm³
Total DFT energy (no corrections) ... -2.97 eV per atom
Space group ... P4/nmm
Energy above the lowest structure with this stoichiometry ... 148 meV/atom

abc: 3.808 3.808 10.388
angles: 90.00 90.00 90.00
Element x y z (fractional)
Ag: 0.750 0.750 0.133
Ag: 0.250 0.250 0.867
Hg: 0.250 0.250 0.380
Hg: 0.750 0.750 0.620
O: 0.750 0.250 0.500
O: 0.250 0.750 0.500
S: 0.250 0.250 0.144
S: 0.750 0.750 0.856

***

# 2
## AgHgSO (PBE)

Data for an optimized crystal structure of AgHgSO.

## Properties
Calculated density ... 7.8 g/cm³
Total DFT energy (no corrections) ... -3.11 eV per atom
Space group ... Pbca
Energy above the lowest structure with this stoichiometry ... 9 meV/atom

abc: 6.824 12.667 7.046
angles: 90.00 90.00 90.00
Element x y z (fractional)
Ag: 0.251 0.455 0.003
Ag: 0.249 0.955 0.003
Ag: 0.751 0.455 0.497
Ag: 0.749 0.955 0.497
Ag: 0.251 0.045 0.503
Ag: 0.249 0.545 0.503
Ag: 0.751 0.045 0.997
Ag: 0.749 0.545 0.997
Hg: 0.499 0.252 0.245
Hg: 0.001 0.752 0.245
Hg: 0.999 0.252 0.255
Hg: 0.501 0.752 0.255
Hg: 0.499 0.248 0.745
Hg: 0.001 0.748 0.745
Hg: 0.999 0.248 0.755
Hg: 0.501 0.748 0.755
O: 0.753 0.244 0.081
O: 0.747 0.744 0.081
O: 0.253 0.244 0.419
O: 0.247 0.744 0.419
O: 0.753 0.256 0.581
O: 0.747 0.756 0.581
O: 0.253 0.256 0.919
O: 0.247 0.756 0.919
S: 0.500 0.001 0.250
S: 0.000 0.501 0.250
S: 0.000 0.001 0.250
S: 0.500 0.501 0.250
S: 0.500 0.499 0.750
S: 0.000 0.999 0.750
S: 0.000 0.499 0.750
S: 0.500 0.999 0.750

***

# 3
## AgHgSO (PBE)

Data for an optimized crystal structure of AgHgSO.

## Properties
Calculated density ... 8.0 g/cm³
Total DFT energy (no corrections) ... -3.09 eV per atom
Space group ... Cmc2_1
Energy above the lowest structure with this stoichiometry ... 24 meV/atom

abc: 6.572 6.572 6.655
angles: 90.00 90.00 30.90
Element x y z (fractional)
Ag: 0.224 0.224 0.464
Ag: 0.776 0.776 0.964
Hg: 0.500 0.500 0.214
Hg: 0.500 0.500 0.714
O: 0.608 0.608 0.464
O: 0.392 0.392 0.964
S: 0.857 0.857 0.466
S: 0.143 0.143 0.966

***

# 4
## AgHgSO (PBE)

Data for an optimized crystal structure of AgHgSO.

## Properties
Calculated density ... 8.1 g/cm³
Total DFT energy (no corrections) ... -3.00 eV per atom
Space group ... P6_3mc
Energy above the lowest structure with this stoichiometry ... 113 meV/atom

abc: 3.666 3.666 12.528
angles: 90.00 90.00 120.00
Element x y z (fractional)
Ag: 0.333 0.667 0.248
Ag: 0.667 0.333 0.748
Hg: 0.000 0.000 0.491
Hg: 0.000 0.000 0.991
O: 0.000 0.000 0.323
O: 0.000 0.000 0.823
S: 0.667 0.333 0.125
S: 0.333 0.667 0.625

***

# 5
## AgHgSO (PBE)

Data for an optimized crystal structure of AgHgSO.

## Properties
Calculated density ... 7.6 g/cm³
Total DFT energy (no corrections) ... -3.09 eV per atom
Space group ... P2_12_12_1
Energy above the lowest structure with this stoichiometry ... 30 meV/atom

abc: 6.870 6.480 6.955
angles: 90.00 90.00 90.00
Element x y z (fractional)
Ag: 0.151 0.256 0.012
Ag: 0.849 0.756 0.488
Ag: 0.349 0.744 0.512
Ag: 0.651 0.244 0.988
Hg: 0.410 0.788 0.053
Hg: 0.590 0.288 0.447
Hg: 0.090 0.212 0.553
Hg: 0.910 0.712 0.947
O: 0.402 0.095 0.143
O: 0.598 0.595 0.357
O: 0.098 0.905 0.643
O: 0.902 0.405 0.857
S: 0.900 0.019 0.133
S: 0.100 0.519 0.367
S: 0.600 0.981 0.633
S: 0.400 0.481 0.867

***

# 6
## AgHgSO (PBE)

Data for an optimized crystal structure of AgHgSO.

## Properties
Calculated density ... 8.4 g/cm³
Total DFT energy (no corrections) ... -3.02 eV per atom
Space group ... P2_12_12_1
Energy above the lowest structure with this stoichiometry ... 102 meV/atom

abc: 6.744 6.755 6.225
angles: 90.00 90.00 90.00
Element x y z (fractional)
Ag: 0.587 0.831 0.016
Ag: 0.413 0.331 0.484
Ag: 0.913 0.169 0.516
Ag: 0.087 0.669 0.984
Hg: 0.707 0.301 0.026
Hg: 0.293 0.801 0.474
Hg: 0.793 0.699 0.526
Hg: 0.207 0.199 0.974
O: 0.458 0.152 0.191
O: 0.542 0.652 0.309
O: 0.042 0.848 0.691
O: 0.958 0.348 0.809
S: 0.935 0.965 0.175
S: 0.065 0.465 0.325
S: 0.565 0.035 0.675
S: 0.435 0.535 0.825

***

# 7
## AgHgSO (PBE)

Data for an optimized crystal structure of AgHgSO.

## Properties
Calculated density ... 6.4 g/cm³
Total DFT energy (no corrections) ... -3.12 eV per atom
Space group ... P4/nmm
Energy above the lowest structure with this stoichiometry ... 0 meV/atom

abc: 4.780 4.780 8.071
angles: 90.00 90.00 90.00
Element x y z (fractional)
Ag: 0.750 0.250 0.000
Ag: 0.250 0.750 0.000
Hg: 0.750 0.750 0.318
Hg: 0.250 0.250 0.682
O: 0.250 0.250 0.315
O: 0.750 0.750 0.685
S: 0.250 0.250 0.127
S: 0.750 0.750 0.873

***

# 8
## AgHgSO (PBE)

Data for an optimized crystal structure of AgHgSO.

## Properties
Calculated density ... 8.4 g/cm³
Total DFT energy (no corrections) ... -2.80 eV per atom
Space group ... P4/nmm
Energy above the lowest structure with this stoichiometry ... 315 meV/atom

abc: 3.501 3.501 11.532
angles: 90.00 90.00 90.00
Element x y z (fractional)
Ag: 0.750 0.750 0.102
Ag: 0.250 0.250 0.898
Hg: 0.250 0.250 0.288
Hg: 0.750 0.750 0.712
O: 0.250 0.250 0.100
O: 0.750 0.750 0.900
S: 0.750 0.250 0.500
S: 0.250 0.750 0.500